Here is crystalline BaAl7Ag5 at its relaxed geometry from the Alexandria database. Energies are from GGA-PBE.

Properties
* space-group type: No. 44
* DFT total energy: -44.05 eV/cell
* formation enthalpy at 0 K: -0.129 eV per atom

abc: 5.5399 7.2539 7.2538
angles: 82.49 67.55 67.55
Fractional positions:
Al  0.6430  0.3570  0.3570
Al  0.2636  0.2364  0.2364
Al  0.9936  0.6497  0.3631
Al  0.3589  0.6411  0.6411
Al  0.9936  0.3631  0.6497
Al  0.5046  0.7650  0.2258
Al  0.5046  0.2258  0.7650
Ag  0.0036  0.0060  0.4897
Ag  0.0036  0.4897  0.0060
Ag  0.5007  0.0060  0.4897
Ag  0.5007  0.4897  0.0060
Ag  0.7267  0.7733  0.7733
Ba  0.0027  0.9973  0.9973

***

Here is crystalline LiTl2Cd2 at its relaxed geometry from the Alexandria database. Energies are from GGA-PBE.

Properties
* space-group type: No. 127
* distance to the lowest polymorph of the same formula: 0 meV per atom
* DFT total energy: -16.96 eV/cell
* formation enthalpy at 0 K: -0.001 eV per atom

abc: 7.8982 7.8982 4.2515
angles: 90.00 90.00 90.00
Fractional positions:
Cd  0.1346  0.3654  0.0000
Cd  0.6346  0.1346  0.0000
Cd  0.8654  0.6346  0.0000
Cd  0.3654  0.8654  0.0000
Tl  0.3289  0.1711  0.5000
Tl  0.8289  0.3289  0.5000
Tl  0.6711  0.8289  0.5000
Tl  0.1711  0.6711  0.5000
Li  0.5000  0.5000  0.0000
Li  0.0000  0.0000  0.0000

***

Here is crystalline LiEr2Be3Pt4 at its relaxed geometry from the Alexandria database. Energies are from GGA-PBE.

Properties
* space-group type: No. 115
* DFT total energy: -55.33 eV/cell
* formation enthalpy at 0 K: -0.895 eV per atom

abc: 3.9757 3.9757 9.8402
angles: 90.00 90.00 90.00
Fractional positions:
Li  0.5000  0.5000  0.5000
Pt  0.0000  0.5000  0.3563
Pt  0.5000  0.0000  0.6437
Pt  0.0000  0.0000  0.0000
Pt  0.5000  0.5000  0.0000
Er  0.5000  0.0000  0.2459
Er  0.0000  0.5000  0.7541
Be  0.5000  0.0000  0.8771
Be  0.0000  0.0000  0.5000
Be  0.0000  0.5000  0.1229

***

Here is crystalline Tb4NdHo2 at its relaxed geometry from the Alexandria database. Energies are from GGA-PBE.

Properties
* space-group type: No. 11
* distance to the lowest polymorph of the same formula: 93 meV per atom
* DFT total energy: -63.12 eV/cell
* formation enthalpy at 0 K: 0.126 eV per atom

abc: 6.1312 6.5677 11.6702
angles: 90.00 106.47 90.00
Fractional positions:
Ho  0.6084  0.7500  0.0049
Ho  0.2974  0.2500  0.4475
Ho  0.7026  0.7500  0.5525
Ho  0.3916  0.2500  0.9951
Nd  0.8234  0.2500  0.8592
Nd  0.1766  0.7500  0.1408
Tb  0.0109  0.2500  0.1611
Tb  0.6402  0.4923  0.2884
Tb  0.3598  0.5077  0.7116
Tb  0.8607  0.2500  0.5725
Tb  0.1393  0.7500  0.4275
Tb  0.6402  0.0077  0.2884
Tb  0.9891  0.7500  0.8389
Tb  0.3598  0.9923  0.7116

***

Here is crystalline Zr6PdAu3 at its relaxed geometry from the Alexandria database. Energies are from GGA-PBE.

Properties
* space-group type: No. 14
* DFT total energy: -137.04 eV/cell
* formation enthalpy at 0 K: -0.221 eV per atom

abc: 5.2825 8.8177 9.2376
angles: 90.00 90.52 90.00
Fractional positions:
Zr  0.4335  0.8166  0.4457
Zr  0.5711  0.1784  0.9531
Zr  0.6268  0.3666  0.2561
Zr  0.9289  0.6784  0.5469
Zr  0.0665  0.3166  0.0543
Zr  0.5665  0.1834  0.5543
Zr  0.9335  0.6834  0.9457
Zr  0.4289  0.8216  0.0469
Zr  0.1268  0.1334  0.7561
Zr  0.0711  0.3216  0.4531
Zr  0.3732  0.6334  0.7439
Zr  0.8732  0.8666  0.2439
Au  0.8457  0.4092  0.7471
Au  0.5000  0.5000  0.0000
Au  0.1543  0.5908  0.2529
Au  0.3457  0.0908  0.2471
Au  0.6543  0.9092  0.7529
Au  0.0000  0.0000  0.5000
Pd  0.0000  0.0000  0.0000
Pd  0.5000  0.5000  0.5000

***

Here is crystalline BaSc3Co at its relaxed geometry from the Alexandria database. Energies are from GGA-PBE.

Properties
* space-group type: No. 221
* distance to the lowest polymorph of the same formula: 0 meV per atom
* DFT total energy: -28.01 eV/cell
* formation enthalpy at 0 K: 0.003 eV per atom

abc: 5.0912 5.0912 5.0912
angles: 90.00 90.00 90.00
Fractional positions:
Sc  0.5000  0.0000  0.0000
Sc  0.0000  0.5000  0.0000
Sc  0.0000  0.0000  0.5000
Ba  0.5000  0.5000  0.5000
Co  0.0000  0.0000  0.0000

***

DFT total energy of number 6 (BaSc3Co)? -28.01 eV/cell

***

What is the formation enthalpy at 0 K in the sixth record? 0.003 eV per atom

***

Number 5 is which compound? Zr6PdAu3